Th2TeH: optimized geometry, PBE-GGA.

E = -0.217 Ha/atom
Size of the total moment = 0.0 μB/f.u.
Mass density = 10019 kg/m³
ΔE to the lowest computed polymorph = 0.022 eV/atom

a b c (Å): 7.990 7.990 7.990
angles (deg): 27.84 27.84 27.84
Fractional coordinates of all 4 atoms:
Th 0.000 0.000 0.000
Th 0.202 0.202 0.202
Te 0.768 0.768 0.768
H 0.602 0.602 0.602